No. 1
{
  "formula": "Ti2Mo3W3",
  "functional": "PBE",
  "state": "relaxed",
  "delta_e_f_mev_per_atom": -125,
  "energy_ev_per_atom": -11.0176,
  "lattice": [[-4.258, 1.188, -0.819], [-1.231, -4.293, 0.174], [-2.079, 1.098, 12.407]],
  "species": ["Ti", "Ti", "Ti", "Ti", "Mo", "Mo", "Mo", "Mo", "Mo", "Mo", "W", "W", "W", "W", "W", "W"],
  "frac_coords": [[0.750, 0.750, 0.874], [0.250, 0.250, 0.374], [0.750, 0.750, 0.626], [0.250, 0.250, 0.126], [0.750, 0.250, 0.499], [0.250, 0.750, 0.999], [0.750, 0.250, 0.001], [0.250, 0.750, 0.501], [0.250, 0.750, 0.250], [0.750, 0.250, 0.750], [0.750, 0.750, 0.376], [0.250, 0.250, 0.876], [0.750, 0.750, 0.124], [0.250, 0.250, 0.624], [0.750, 0.250, 0.250], [0.250, 0.750, 0.750]]
}

No. 2
{
  "formula": "TiMo2W",
  "functional": "PBE",
  "state": "relaxed",
  "delta_e_f_mev_per_atom": 675,
  "energy_ev_per_atom": -9.9524,
  "lattice": [[7.126, 0.000, 0.000], [0.000, 7.126, 0.000], [3.563, 3.563, 2.710]],
  "species": ["Mo", "Mo", "Mo", "Mo", "W", "W", "Ti", "Ti"],
  "frac_coords": [[0.635, 0.125, 0.250], [0.115, 0.625, 0.250], [0.375, 0.365, 0.750], [0.875, 0.885, 0.750], [0.000, 0.000, 0.000], [0.750, 0.250, 0.500], [0.500, 0.500, 0.000], [0.250, 0.750, 0.500]]
}

No. 3
{
  "formula": "Ti2MoW5",
  "functional": "PBE",
  "state": "relaxed",
  "delta_e_f_mev_per_atom": 42,
  "energy_ev_per_atom": -11.3816,
  "lattice": [[4.492, 0.000, 0.000], [0.000, 5.415, 0.000], [0.000, 0.000, 10.603]],
  "species": ["Ti", "Ti", "Ti", "Ti", "Mo", "Mo", "W", "W", "W", "W", "W", "W", "W", "W", "W", "W"],
  "frac_coords": [[0.500, 0.340, 0.383], [0.500, 0.660, 0.617], [0.500, 0.160, 0.883], [0.500, 0.840, 0.117], [0.000, 0.000, 0.500], [0.000, 0.500, 0.000], [0.500, 0.339, 0.124], [0.500, 0.661, 0.876], [0.500, 0.839, 0.376], [0.500, 0.161, 0.624], [0.000, 0.848, 0.754], [0.000, 0.152, 0.246], [0.000, 0.348, 0.746], [0.000, 0.652, 0.254], [0.000, 0.500, 0.500], [0.000, 0.000, 0.000]]
}

No. 4
{
  "formula": "Ti5Mo4W2",
  "functional": "PBE",
  "state": "relaxed",
  "delta_e_f_mev_per_atom": 188,
  "energy_ev_per_atom": -9.6941,
  "lattice": [[-2.321, -1.724, -1.281], [3.930, -1.277, -5.402], [0.805, -5.120, 9.331]],
  "species": ["Ti", "Ti", "Ti", "Ti", "Ti", "Mo", "Mo", "Mo", "Mo", "W", "W"],
  "frac_coords": [[0.391, 0.173, 0.782], [0.609, 0.827, 0.218], [0.196, 0.271, 0.391], [0.500, 0.000, 0.000], [0.804, 0.729, 0.609], [0.631, 0.431, 0.261], [0.983, 0.646, 0.966], [0.369, 0.569, 0.739], [0.017, 0.354, 0.034], [0.212, 0.806, 0.423], [0.788, 0.194, 0.577]]
}